Record 1
A geometry-optimized Fe3MoP structure, computed with GGA-PBEsol.

```
data_Fe3MoP
_symmetry_space_group_name_H-M 'P m -3 m'
_symmetry_Int_Tables_number 221
_symmetry_space_group_name_Hall '-P 4 2 3'
_cell_length_a 4.357
_cell_length_b 4.357
_cell_length_c 4.357
_cell_angle_alpha 90.00
_cell_angle_beta 90.00
_cell_angle_gamma 90.00
loop_
_atom_site_label
_atom_site_type_symbol
_atom_site_fract_x
_atom_site_fract_y
_atom_site_fract_z
Fe1 Fe 0.000 0.000 0.500
Mo1 Mo 0.000 0.000 0.000
P1 P 0.500 0.500 0.500
```

## Properties
- energy of formation (eV per atom) = 1.75
- distance to the lowest polymorph of the same formula (eV/atom) = 1.187
- total energy (eV/cell) = -35.72
- Fermi-level density of states (states/eV/cell) = 6.82
- magnetization (μB/cell) = 4.521



Record 2
A geometry-optimized Fe2MoP12 structure, computed with GGA-PBEsol.

```
data_Fe2MoP12
_symmetry_space_group_name_H-M 'P b c n'
_symmetry_Int_Tables_number 60
_symmetry_space_group_name_Hall '-P 2n 2ab'
_cell_length_a 13.632
_cell_length_b 5.620
_cell_length_c 11.016
_cell_angle_alpha 90.00
_cell_angle_beta 90.00
_cell_angle_gamma 90.00
loop_
_atom_site_label
_atom_site_type_symbol
_atom_site_fract_x
_atom_site_fract_y
_atom_site_fract_z
Fe1 Fe 0.150 0.103 0.041
Mo1 Mo 0.000 0.399 0.750
P1 P 0.009 0.258 0.102
P2 P 0.087 0.064 0.856
P3 P 0.092 0.265 0.562
P4 P 0.167 0.485 0.304
P5 P 0.189 0.118 0.229
P6 P 0.203 0.465 0.001
```

## Properties
- energy of formation (eV per atom) = -0.47
- total energy (eV/cell) = -424.80
- Fermi-level density of states (states/eV/cell) = 2.65
- magnetization (μB/cell) = 0.000



Record 3
A geometry-optimized Fe2MoP structure, computed with GGA-PBEsol.

```
data_Fe2MoP
_symmetry_space_group_name_H-M 'I -4 m 2'
_symmetry_Int_Tables_number 119
_symmetry_space_group_name_Hall 'I -4 -2'
_cell_length_a 3.484
_cell_length_b 3.484
_cell_length_c 7.503
_cell_angle_alpha 90.00
_cell_angle_beta 90.00
_cell_angle_gamma 90.00
loop_
_atom_site_label
_atom_site_type_symbol
_atom_site_fract_x
_atom_site_fract_y
_atom_site_fract_z
Fe1 Fe 0.000 0.000 0.000
Fe2 Fe 0.000 0.500 0.250
Mo1 Mo 0.000 0.000 0.500
P1 P 0.000 0.500 0.750
```

## Properties
- energy of formation (eV per atom) = -0.16
- total energy (eV/cell) = -72.25
- Fermi-level density of states (states/eV/cell) = 6.85
- magnetization (μB/cell) = 1.462



Record 4
A geometry-optimized Fe3MoP structure, computed with GGA-PBEsol.

```
data_Fe3MoP
_symmetry_space_group_name_H-M 'P m -3 m'
_symmetry_Int_Tables_number 221
_symmetry_space_group_name_Hall '-P 4 2 3'
_cell_length_a 4.024
_cell_length_b 4.024
_cell_length_c 4.024
_cell_angle_alpha 90.00
_cell_angle_beta 90.00
_cell_angle_gamma 90.00
loop_
_atom_site_label
_atom_site_type_symbol
_atom_site_fract_x
_atom_site_fract_y
_atom_site_fract_z
Fe1 Fe 0.000 0.000 0.500
Mo1 Mo 0.500 0.500 0.500
P1 P 0.000 0.000 0.000
```

## Properties
- energy of formation (eV per atom) = 0.56
- distance to the lowest polymorph of the same formula (eV/atom) = 0.000
- total energy (eV/cell) = -41.66
- Fermi-level density of states (states/eV/cell) = 8.35
- magnetization (μB/cell) = 4.169